Computed, not measured: a geometry-optimized AlZn2Sb structure at the PBE level of DFT.

Calculated values
- V: 20.6 A^3/atom
- Uncorrected formation energy: 214 meV per atom

Lattice parameters (Å, degrees): 7.611 7.611 5.702 90.00 90.00 90.00
Space group I-42d (No. 122)
Symmetry-distinct sites (fractional):
Al 0.000 0.000 0.000 [4 per cell]
Zn 0.241 0.750 0.125 [8 per cell]
Sb 0.000 0.000 0.500 [4 per cell]